VASP calculation (PBE-GGA) on Na3Sm3PaSe8 after structural relaxation.

Geometry as extended XYZ:
```
15
Lattice="8.456 0.000 0.000 -4.228 7.323 -0.027 0.000 -4.859 7.056" Properties=species:S:1:pos:R:3 pbc="T T T"
Se 4.228 2.501 1.911
Se 0.000 2.447 1.862
Sm 2.114 1.232 3.514
Se -2.161 3.706 5.104
Pa 0.000 -2.429 3.528
Se 0.000 -0.037 5.118
Se 2.067 -1.242 1.925
Sm 4.228 -2.429 3.528
Na 0.000 0.000 0.000
Se 6.390 -1.242 1.925
Sm -2.114 1.232 3.514
Se 4.228 0.018 5.167
Na -2.114 3.661 -0.014
Se 2.161 3.706 5.104
Na 2.114 3.661 -0.014
```

Output
DFT total energy in eV for the cell shown: -79.76
V in Å³ per atom: 29.1
E_form (uncorrected) in eV/f.u.: -24.277